(1)
Computed, not measured: an optimized crystal structure of Pm8ErTm2 at the PBE level of DFT.

## Properties
The calculation puts the formation energy from the elements at 0.174 eV per atom. Its volume is 371.5 Å³ per cell. Its symmetry is C2/m (12). The relative energy among the computed polymorphs comes out at 60 meV/atom. For the size of the total moment, the calculation gives 0.00 μB/cell.

Unit cell a=9.0213 b=9.0213 c=6.6800 alpha=99.44 beta=99.44 gamma=43.97
Closest atoms and distances in Å follow each position.
Element x y z (fractional)
Pm 0.0940 0.0940 0.9127  8 Pm 3.35-3.74, 1 Tm 3.66
Pm 0.1512 0.6746 0.5958  5 Pm 3.22-3.53, 1 Er 3.34, 1 Tm 3.46
Pm 0.2555 0.2555 0.6804  5 Pm 3.30-3.48, 4 Tm 3.38-3.65
Pm 0.3254 0.8488 0.4042  5 Pm 3.22-3.53, 1 Er 3.34, 1 Tm 3.46
Pm 0.6746 0.1512 0.5958  5 Pm 3.22-3.53, 1 Er 3.34, 1 Tm 3.46
Pm 0.7445 0.7445 0.3196  5 Pm 3.30-3.48, 4 Tm 3.38-3.65
Pm 0.8488 0.3254 0.4042  5 Pm 3.22-3.53, 1 Er 3.34, 1 Tm 3.46
Pm 0.9060 0.9060 0.0873  8 Pm 3.35-3.74, 1 Tm 3.66
Er 0.5000 0.5000 0.0000  4 Pm 3.34
Tm 0.3029 0.3029 0.1940  7 Pm 3.38-3.66, 1 Er 3.75
Tm 0.6971 0.6971 0.8060  7 Pm 3.38-3.66, 1 Er 3.75

=====

(2)
Computed, not measured: an optimized crystal structure of Ba9S2I14 at the PBE level of DFT.

## Properties
Its volume is 1224.3 Å³ per cell. Its symmetry is P-3 (147). The calculation puts the formation energy from raw total energies at -42.31 kcal/mol of atoms. For the size of the total moment, the calculation gives 0.29 μB/cell.

Unit cell a=10.0595 b=10.0595 c=13.9708 alpha=90.00 beta=90.00 gamma=120.00
Closest atoms and distances in Å follow each position.
Element x y z (fractional)
Ba 0.0000 0.0000 0.0000  8 I 3.59-3.68
Ba 0.0748 0.3650 0.3400  1 S 3.03
Ba 0.2902 0.9252 0.3400  1 S 3.03
Ba 0.3333 0.6667 0.0477  1 S 3.03
Ba 0.3650 0.2902 0.6600  1 S 3.03
Ba 0.6350 0.7098 0.3400  1 S 3.03
Ba 0.6667 0.3333 0.9523  1 S 3.03
Ba 0.7098 0.0748 0.6600  1 S 3.03
Ba 0.9252 0.6350 0.6600  1 S 3.03
S 0.3333 0.6667 0.2644  4 Ba 3.03
S 0.6667 0.3333 0.7356  4 Ba 3.03
I 0.0000 0.0000 0.2569  4 Ba 3.55-3.59
I 0.0000 0.0000 0.7431  4 Ba 3.55-3.59
I 0.0358 0.6770 0.9061  4 Ba 3.57-3.68
I 0.0783 0.3929 0.5962  4 Ba 3.58-3.63
I 0.3146 0.9217 0.5962  4 Ba 3.58-3.63
I 0.3230 0.3588 0.9061  4 Ba 3.57-3.68
I 0.3588 0.0358 0.0939  4 Ba 3.57-3.68
I 0.3929 0.3146 0.4038  4 Ba 3.58-3.63
I 0.6071 0.6854 0.5962  4 Ba 3.58-3.63
I 0.6412 0.9642 0.9061  4 Ba 3.57-3.68
I 0.6770 0.6412 0.0939  4 Ba 3.57-3.68
I 0.6854 0.0783 0.4038  4 Ba 3.58-3.63
I 0.9217 0.6071 0.4038  4 Ba 3.58-3.63
I 0.9642 0.3230 0.0939  4 Ba 3.57-3.68

=====

(3)
Computed, not measured: an optimized crystal structure of LiZrHg2 at the PBE level of DFT.

## Properties
The calculation puts the formation energy from the elements at -0.242 eV per atom. Its volume is 78.8 Å³ per cell. Its symmetry is Pmmm (47). For the size of the total moment, the calculation gives 0.00 μB/cell.

Unit cell a=3.2594 b=3.2871 c=7.3506 alpha=90.00 beta=90.00 gamma=90.00
Closest atoms and distances in Å follow each position.
Element x y z (fractional)
Li 0.0000 0.0000 0.0000  8 Hg 2.84
Zr 0.0000 0.0000 0.5000  8 Hg 3.08, 4 Zr 3.26-3.29
Hg 0.5000 0.5000 0.2236  4 Li 2.84, 4 Zr 3.08
Hg 0.5000 0.5000 0.7764  4 Li 2.84, 4 Zr 3.08

=====

(4)
Computed, not measured: an optimized crystal structure of Mg2Sc3Sb3 at the PBE level of DFT.

## Properties
Its volume is 370.5 Å³ per cell. Its symmetry is P6_3/mcm (193). The calculation puts the formation energy from raw total energies at -13.11 kcal/mol of atoms. For the size of the total moment, the calculation gives 0.00 μB/cell.

Unit cell a=8.4469 b=8.4469 c=5.9966 alpha=90.00 beta=90.00 gamma=120.00
Closest atoms and distances in Å follow each position.
Element x y z (fractional)
Mg 0.3333 0.6667 0.0000  2 Mg 3.00, 6 Sb 3.01
Mg 0.3333 0.6667 0.5000  2 Mg 3.00, 6 Sb 3.01
Mg 0.6667 0.3333 0.0000  2 Mg 3.00, 6 Sb 3.01
Mg 0.6667 0.3333 0.5000  2 Mg 3.00, 6 Sb 3.01
Sc 0.0000 0.2436 0.2500  3 Sb 2.89-3.09
Sc 0.0000 0.7564 0.7500  3 Sb 2.89-3.09
Sc 0.2436 0.0000 0.2500  3 Sb 2.89-3.09
Sc 0.2436 0.2436 0.7500  3 Sb 2.89-3.09
Sc 0.7564 0.0000 0.7500  3 Sb 2.89-3.09
Sc 0.7564 0.7564 0.2500  3 Sb 2.89-3.09
Sb 0.0000 0.3905 0.7500  3 Sc 2.89-3.09, 4 Mg 3.01
Sb 0.0000 0.6095 0.2500  3 Sc 2.89-3.09, 4 Mg 3.01
Sb 0.3905 0.0000 0.7500  3 Sc 2.89-3.09, 4 Mg 3.01
Sb 0.3905 0.3905 0.2500  3 Sc 2.89-3.09, 4 Mg 3.01
Sb 0.6095 0.0000 0.2500  3 Sc 2.89-3.09, 4 Mg 3.01
Sb 0.6095 0.6095 0.7500  3 Sc 2.89-3.09, 4 Mg 3.01

=====

(5)
Computed, not measured: an optimized crystal structure of CuReP2 at the PBE level of DFT.

## Properties
The calculation puts the formation energy from the elements at 0.438 eV per atom. Its volume is 53.6 Å³ per cell. Its symmetry is I-4m2 (119). The relative energy among the computed polymorphs comes out at 494 meV/atom. For the size of the total moment, the calculation gives 0.12 μB/cell.

Unit cell a=4.9134 b=4.9134 c=4.9134 alpha=137.43 beta=137.43 gamma=61.77
Closest atoms and distances in Å follow each position.
Element x y z (fractional)
Cu 0.0000 0.0000 0.0000  8 P 2.52-2.76, 4 Re 2.76
Re 0.7500 0.2500 0.5000  8 P 2.52-2.76, 4 Cu 2.76
P 0.2500 0.7500 0.5000  4 Re 2.52, 4 Cu 2.76, 4 P 2.76
P 0.5000 0.5000 0.0000  4 Cu 2.52, 4 Re 2.76, 4 P 2.76

=====

(6)
Computed, not measured: an optimized crystal structure of ErGaPd2 at the PBE level of DFT.

## Properties
The calculation puts the formation energy from the elements at -0.894 eV per atom. Its volume is 292.4 Å³ per cell. Its symmetry is Pnma (62). For the size of the total moment, the calculation gives 0.00 μB/cell.

Unit cell a=7.2573 b=7.1880 c=5.6047 alpha=90.00 beta=90.00 gamma=90.00
Closest atoms and distances in Å follow each position.
Element x y z (fractional)
Er 0.0274 0.2500 0.1435  3 Ga 2.97-3.05, 8 Pd 3.01-3.14
Er 0.4726 0.7500 0.6435  3 Ga 2.97-3.05, 8 Pd 3.01-3.14
Er 0.5274 0.2500 0.3565  3 Ga 2.97-3.05, 8 Pd 3.01-3.14
Er 0.9726 0.7500 0.8565  3 Ga 2.97-3.05, 8 Pd 3.01-3.14
Ga 0.1144 0.7500 0.3595  6 Pd 2.54-2.63
Ga 0.3856 0.2500 0.8595  6 Pd 2.54-2.63
Ga 0.6144 0.7500 0.1405  6 Pd 2.54-2.63
Ga 0.8856 0.2500 0.6405  6 Pd 2.54-2.63
Pd 0.1861 0.0506 0.5881  3 Ga 2.54-2.63
Pd 0.1861 0.4494 0.5881  3 Ga 2.54-2.63
Pd 0.3139 0.5506 0.0881  3 Ga 2.54-2.63
Pd 0.3139 0.9494 0.0881  3 Ga 2.54-2.63
Pd 0.6861 0.0506 0.9119  3 Ga 2.54-2.63
Pd 0.6861 0.4494 0.9119  3 Ga 2.54-2.63
Pd 0.8139 0.5506 0.4119  3 Ga 2.54-2.63
Pd 0.8139 0.9494 0.4119  3 Ga 2.54-2.63